Material: Pm2YAlO
Method: DFT, PBE
State: optimized geometry

Summary:
E: -0.2307 hartree per atom

Cell: 4.7263 4.9006 4.9006 Å, 90.00 90.00 90.00°
Last column: nearest neighbours and their distance in Å.
Sites, in units of the cell vectors:
Y1 0.5000 0.0000 0.0000  2 O 2.36
Pm1 0.0000 0.0000 0.5000  2 O 2.45
Pm2 0.0000 0.5000 0.0000  2 O 2.45
Al1 0.5000 0.5000 0.5000  8 Pm 3.40, 4 Y 3.47
O1 0.0000 0.0000 0.0000  2 Y 2.36, 4 Pm 2.45